Below is an optimized crystal structure of BaIn2MoF8, with properties calculated at the PBE+U level.

Output
- Total DFT energy (no corrections): -5.03 eV/atom
- Magnetic moment: 1.994 μB per formula unit
- V: 246 Å³ per cell
- Theoretical density: 4.15 Mg/m³

Lattice parameters (Å, degrees): 4.628 6.702 7.964 91.58 93.33 94.29
Space group P-1 (No. 2)
Unique sites:
Ba (0.000, 0.000, 0.000) x1
In (0.469, 0.557, 0.258) x2
Mo (0.000, 0.000, 0.500) x1
F (0.093, 0.810, 0.303) x2
F (0.120, 0.833, 0.691) x2
F (0.368, 0.170, 0.516) x2
F (0.494, 0.222, 0.961) x2